Below is an optimized crystal structure of Li3TaF, with properties calculated at the PBE level.

```
Li3TaF
1.0
-3.286 1.149 2.405
-1.075 -4.065 0.474
2.439 -0.243 3.449
F Li Ta
1 3 1
Cartesian
0.000 0.000 0.000
-0.537 -2.033 0.237
1.220 -0.121 1.725
-1.643 0.575 1.203
-0.961 -1.579 3.164
```

Results
**Crystal system**: cubic
**Uncorrected formation energy**: -0.162 eV per atom
**Calculated volume**: 15.15 A^3/atom
**Space group**: Pm-3m, No. 221